1.
Density functional theory data (PBE) for an optimized crystal structure of CrP2Ir.

Cell lengths 4.111, 4.112, 2.959 Å; angles 90.00, 90.00, 90.00 degrees
Fractional coordinates of all 4 atoms:
Ir 0.000 0.500 0.500
Cr 0.500 0.000 0.500
P 0.500 0.500 0.000
P 0.000 0.000 0.000

Total DFT energy (no corrections)   -29.85 eV/cell
Formation energy from the elements   -0.1355 eV/atom
Energy relative to the lowest polymorph listed for this composition   0.197 eV per atom
Total magnetic moment   0.0 μB/cell

2.
Density functional theory data (PBE) for an optimized crystal structure of SrTaMn4.

Cell lengths 5.037, 5.037, 5.037 Å; angles 60.00, 60.00, 60.00 degrees
Last column: magnetic moment on the atom in μB.
Fractional coordinates of all 6 atoms:
Mn 0.374 0.374 0.374  1.01
Sr 0.750 0.750 0.750  -0.05
Ta 0.000 0.000 0.000  -0.47
Mn 0.374 0.878 0.374  1.01
Mn 0.878 0.374 0.374  1.01
Mn 0.374 0.374 0.878  1.01

Total DFT energy (no corrections)   -46.81 eV/cell
Formation energy from the elements   0.5671 eV/atom
Total magnetic moment   3.3 μB/cell

3.
Density functional theory data (PBE) for an optimized crystal structure of Na3Zn3IrO8.

Cell lengths 6.262, 6.261, 6.526 Å; angles 118.67, 90.00, 120.00 degrees
Last column: magnetic moment on the atom in μB.
Fractional coordinates of all 15 atoms:
Ir 0.000 0.000 0.500  1.05
O 0.784 0.569 0.300  0.10
O 0.275 0.549 0.323  0.04
Zn 0.500 0.000 0.500  0.02
O 0.216 0.985 0.700  0.10
Na 0.500 0.500 0.000  0.01
O 0.725 0.451 0.677  0.04
O 0.784 0.015 0.300  0.10
Na 0.000 0.500 0.000  0.01
Zn 0.000 0.500 0.500  0.02
O 0.231 0.015 0.300  0.10
Na 0.000 0.000 0.000  0.01
Zn 0.500 0.500 0.500  0.02
O 0.216 0.431 0.700  0.10
O 0.769 0.985 0.700  0.10

Total DFT energy (no corrections)   -74.57 eV/cell
Total magnetic moment   2.0 μB/cell
Formation energy from raw total energies   -117 kJ/mol of atoms

4.
Density functional theory data (PBE) for an optimized crystal structure of Sr2InMo.

Cell lengths 10.851, 10.851, 10.851 Å; angles 19.70, 19.70, 19.70 degrees
Last column: magnetic moment on the atom in μB.
Fractional coordinates of all 4 atoms:
Sr 0.019 0.019 0.019  0.01
Mo 0.760 0.760 0.760  1.16
In 0.485 0.485 0.485  0.00
Sr 0.236 0.236 0.236  -0.01

Total DFT energy (no corrections)   -14.25 eV/cell
Formation energy from the elements   0.6698 eV/atom
Total magnetic moment   1.3 μB/cell

5.
Density functional theory data (PBE) for an optimized crystal structure of LaTiV2W.

Cell lengths 4.746, 4.875, 4.746 Å; angles 90.00, 90.00, 90.00 degrees
Fractional coordinates of all 5 atoms:
Ti 0.000 0.500 0.000
V 0.500 0.000 0.000
La 0.500 0.500 0.500
V 0.000 0.000 0.500
W 0.000 0.000 0.000

Total DFT energy (no corrections)   -40.02 eV/cell
Formation energy from the elements   0.7982 eV/atom
Total magnetic moment   0.0 μB/cell

6.
Density functional theory data (PBE) for an optimized crystal structure of Li3Cu5.

Cell lengths 4.163, 4.129, 6.489 Å; angles 108.55, 108.71, 90.00 degrees
Fractional coordinates of all 8 atoms:
Li 0.000 0.500 0.000
Li 0.867 0.867 0.733
Cu 0.377 0.378 0.755
Li 0.133 0.133 0.267
Cu 0.255 0.755 0.510
Cu 0.745 0.245 0.490
Cu 0.500 0.000 0.000
Cu 0.623 0.622 0.245

Total DFT energy (no corrections)   -26.44 eV/cell
Formation energy from the elements   -0.0277 eV/atom
Energy relative to the lowest polymorph listed for this composition   0.000 eV per atom
Total magnetic moment   0.0 μB/cell

7.
Density functional theory data (PBE) for an optimized crystal structure of TiNb14Re.

Cell lengths 6.586, 6.586, 6.586 Å; angles 90.00, 90.00, 90.00 degrees
Fractional coordinates of all 16 atoms:
Nb 0.375 0.875 0.500
Nb 0.129 0.129 0.746
Nb 0.621 0.621 0.746
Ti 0.875 0.875 0.500
Nb 0.875 0.375 0.500
Nb 0.875 0.875 0.000
Nb 0.621 0.129 0.254
Re 0.375 0.375 0.500
Nb 0.129 0.621 0.254
Nb 0.375 0.375 0.000
Nb 0.621 0.621 0.254
Nb 0.129 0.621 0.746
Nb 0.621 0.129 0.746
Nb 0.375 0.875 0.000
Nb 0.875 0.375 0.000
Nb 0.129 0.129 0.254

Total DFT energy (no corrections)   -162.24 eV/cell
Formation energy from the elements   -0.0577 eV/atom
Total magnetic moment   0.0 μB/cell

8.
Density functional theory data (PBE) for an optimized crystal structure of SrCa2La.

Cell lengths 6.211, 3.770, 7.452 Å; angles 78.37, 90.00, 90.00 degrees
Fractional coordinates of all 4 atoms:
Sr 0.500 0.750 0.750
Ca 0.000 0.989 0.010
Ca 0.000 0.511 0.490
La 0.500 0.250 0.250

Total DFT energy (no corrections)   -10.24 eV/cell
Formation energy from the elements   0.0941 eV/atom
Energy relative to the lowest polymorph listed for this composition   0.030 eV per atom
Total magnetic moment   0.0 μB/cell

9.
Density functional theory data (PBE) for an optimized crystal structure of Al8ZnRh2.

Cell lengths 4.763, 5.171, 7.801 Å; angles 108.90, 107.39, 90.90 degrees
Fractional coordinates of all 11 atoms:
Rh 0.432 0.250 0.591
Rh 0.750 0.568 0.227
Al 0.914 0.980 0.545
Zn 0.091 0.909 0.909
Al 0.694 0.013 0.117
Al 0.342 0.467 0.909
Al 0.268 0.838 0.274
Al 0.904 0.473 0.545
Al 0.840 0.352 0.909
Al 0.278 0.345 0.273
Al 0.488 0.805 0.701

Total DFT energy (no corrections)   -50.88 eV/cell
Formation energy from the elements   -0.4510 eV/atom
Energy relative to the lowest polymorph listed for this composition   0.000 eV per atom
Total magnetic moment   0.0 μB/cell

10.
Density functional theory data (PBE) for an optimized crystal structure of U2PH.

Cell lengths 3.480, 3.480, 8.096 Å; angles 77.59, 77.59, 60.00 degrees
Last column: magnetic moment on the atom in μB.
Fractional coordinates of all 4 atoms:
U 0.090 0.090 0.730  2.47
U 0.910 0.910 0.270  2.47
H 0.000 0.000 0.000  -0.01
P 0.500 0.500 0.500  -0.06

Total DFT energy (no corrections)   -31.34 eV/cell
Energy relative to the lowest polymorph listed for this composition   0.147 eV per atom
Total magnetic moment   5.8 μB/cell

11.
Density functional theory data (PBE) for an optimized crystal structure of Hf2CCl2.

Cell lengths 6.328, 6.328, 4.987 Å; angles 90.00, 90.00, 90.00 degrees
Fractional coordinates of all 10 atoms:
Cl 0.316 0.184 0.500
Cl 0.184 0.684 0.500
Hf 0.713 0.787 0.000
C 0.500 0.500 0.000
Hf 0.787 0.287 0.000
C 0.000 0.000 0.000
Hf 0.287 0.213 0.000
Cl 0.816 0.316 0.500
Hf 0.213 0.713 0.000
Cl 0.684 0.816 0.500

Total DFT energy (no corrections)   -70.29 eV/cell
Total magnetic moment   0.0 μB/cell
Formation energy from raw total energies   -45 kJ/mol of atoms

12.
Density functional theory data (PBE) for an optimized crystal structure of MgTi2Mo.

Cell lengths 3.864, 3.864, 9.976 Å; angles 78.83, 78.83, 90.00 degrees
Fractional coordinates of all 8 atoms:
Mg 0.500 0.500 0.000
Ti 0.107 0.625 0.250
Mo 0.000 0.000 0.000
Mo 0.750 0.250 0.500
Ti 0.375 0.357 0.750
Ti 0.643 0.125 0.250
Ti 0.875 0.893 0.750
Mg 0.250 0.750 0.500

Total DFT energy (no corrections)   -51.48 eV/cell
Formation energy from the elements   0.6195 eV/atom
Total magnetic moment   0.0 μB/cell

Q: Which of these has the lowest total DFT energy (no corrections)?
A: TiNb14Re

Q: Which of these has the highest total magnetic moment?
A: U2PH

Q: Among the records above, which one has the lowest total DFT energy (no corrections)?
A: TiNb14Re